Crystalline Na2SnGeI6 at its relaxed geometry, computed with PBE.

total moment: 0.000 μB/atom
ΔE_f (raw): -666 meV/atom

Lattice parameters (Å, degrees): 8.7188 8.7188 6.5205 90.00 90.00 90.00
Space group P4mm (No. 99)
Asymmetric unit:
Na 0.0000 0.5000 0.0000 (multiplicity 2)
Sn 0.0000 0.0000 0.7966 (multiplicity 1)
Ge 0.5000 0.5000 0.7882 (multiplicity 1)
I 0.0000 0.0000 0.3554 (multiplicity 1)
I 0.2561 0.2561 0.8704 (multiplicity 4)
I 0.5000 0.5000 0.3822 (multiplicity 1)